# 1
This record from the Open Quantum Materials Database describes a relaxed structure of MgTaAsO. The functional is PBE-GGA.

The value obtained for the calculated total energy is -6.86 eV per atom. The space group is No. 129. The calculation puts the volume at 19.0 Å³/atom.

a b c (Å): 4.0572 4.0572 9.2329
angles (deg): 90.00 90.00 90.00
Fractional positions:
Mg  0.2500  0.2500  0.0106
Mg  0.7500  0.7500  0.9894
Ta  0.2500  0.7500  0.5000
Ta  0.7500  0.2500  0.5000
As  0.2500  0.2500  0.6754
As  0.7500  0.7500  0.3246
O  0.2500  0.7500  0.0000
O  0.7500  0.2500  0.0000

# 2
This record from the Open Quantum Materials Database describes a relaxed structure of AlCdGaSe4. The functional is PBE-GGA.

The value obtained for the calculated total energy is -3.81 eV per atom. The space group is No. 82. The calculation puts the volume at 26.8 Å³/atom.

a b c (Å): 6.8427 6.8427 6.8427
angles (deg): 129.22 129.22 74.65
Fractional positions:
Al  0.0000  0.0000  0.0000
Cd  0.2500  0.7500  0.5000
Ga  0.7500  0.2500  0.5000
Se  0.1241  0.6189  0.9647
Se  0.3811  0.3459  0.5053
Se  0.6541  0.1594  0.0353
Se  0.8406  0.8759  0.4947

# 3
This record from the Open Quantum Materials Database describes a relaxed structure of Lu6Ge2Pd. The functional is PBE-GGA.

The value obtained for the calculated total energy is -5.23 eV per atom. The space group is No. 189. The calculation puts the volume at 24.0 Å³/atom.

a b c (Å): 7.7073 7.7073 4.1959
angles (deg): 90.00 90.00 120.00
Fractional positions:
Lu  0.0000  0.4016  0.0000
Lu  0.0000  0.7401  0.5000
Lu  0.2599  0.2599  0.5000
Lu  0.4016  0.0000  0.0000
Lu  0.5984  0.5984  0.0000
Lu  0.7401  0.0000  0.5000
Ge  0.3333  0.6667  0.5000
Ge  0.6667  0.3333  0.5000
Pd  0.0000  0.0000  0.0000

# 4
This record from the Open Quantum Materials Database describes a relaxed structure of PmAgGe. The functional is PBE-GGA.

The value obtained for the calculated total energy is -4.08 eV per atom. The space group is No. 216. The calculation puts the volume at 27.4 Å³/atom.

a b c (Å): 4.8810 4.8810 4.8810
angles (deg): 60.00 60.00 60.00
Fractional positions:
Pm  0.0000  0.0000  0.0000
Ag  0.7500  0.7500  0.7500
Ge  0.2500  0.2500  0.2500

# 5
This record from the Open Quantum Materials Database describes a relaxed structure of UPtAu. The functional is PBE-GGA.

The value obtained for the calculated total energy is -6.95 eV per atom. The calculation puts the energy of formation from the pure elements at -73 meV/atom. The space group is No. 216. The calculation puts the volume at 24.8 Å³/atom.

a b c (Å): 4.7211 4.7211 4.7211
angles (deg): 60.00 60.00 60.00
Fractional positions:
U  0.0000  0.0000  0.0000
Pt  0.2500  0.2500  0.2500
Au  0.7500  0.7500  0.7500

# 6
This record from the Open Quantum Materials Database describes a relaxed structure of RbCuB. The functional is PBE-GGA.

The value obtained for the calculated total energy is -2.03 eV per atom. The space group is No. 216. The calculation puts the volume at 24.9 Å³/atom.

a b c (Å): 4.7281 4.7281 4.7281
angles (deg): 60.00 60.00 60.00
Fractional positions:
Rb  0.0000  0.0000  0.0000
Cu  0.7500  0.7500  0.7500
B  0.5000  0.5000  0.5000

# 7
This record from the Open Quantum Materials Database describes a relaxed structure of Ac2NbTlO6. The functional is PBE-GGA.

The value obtained for the calculated total energy is -7.69 eV per atom. The space group is No. 12. The calculation puts the volume at 16.4 Å³/atom.

a b c (Å): 5.9916 5.9916 6.1992
angles (deg): 116.30 116.30 58.99
Fractional positions:
Ac  0.2464  0.2464  0.2235
Ac  0.7536  0.7536  0.7765
Nb  0.5000  0.5000  0.0000
Tl  0.0000  0.0000  0.5000
O  0.1754  0.6444  0.1179
O  0.3089  0.3089  0.6618
O  0.3556  0.8246  0.8821
O  0.6444  0.1754  0.1179
O  0.6911  0.6911  0.3382
O  0.8246  0.3556  0.8821

# 8
This record from the Open Quantum Materials Database describes a relaxed structure of KNdAu3Se4. The functional is PBE-GGA.

The value obtained for the calculated total energy is -3.82 eV per atom. The space group is No. 215. The calculation puts the volume at 32.2 Å³/atom.

a b c (Å): 6.6192 6.6192 6.6192
angles (deg): 90.00 90.00 90.00
Fractional positions:
K  0.0000  0.0000  0.0000
Nd  0.5000  0.5000  0.5000
Au  0.0000  0.5000  0.5000
Au  0.5000  0.0000  0.5000
Au  0.5000  0.5000  0.0000
Se  0.2620  0.2620  0.2620
Se  0.2620  0.7380  0.7380
Se  0.7380  0.2620  0.7380
Se  0.7380  0.7380  0.2620

- Which value of volume does entry 5 give?
  24.8 Å³/atom

What did the third record say?
This record from the Open Quantum Materials Database describes a relaxed structure of Lu6Ge2Pd. The functional is PBE-GGA.

The value obtained for the calculated total energy is -5.23 eV per atom. The space group is No. 189. The calculation puts the volume at 24.0 Å³/atom.

a b c (Å): 7.7073 7.7073 4.1959
angles (deg): 90.00 90.00 120.00
Fractional positions:
Lu  0.0000  0.4016  0.0000
Lu  0.0000  0.7401  0.5000
Lu  0.2599  0.2599  0.5000
Lu  0.4016  0.0000  0.0000
Lu  0.5984  0.5984  0.0000
Lu  0.7401  0.0000  0.5000
Ge  0.3333  0.6667  0.5000
Ge  0.6667  0.3333  0.5000
Pd  0.0000  0.0000  0.0000

- The highest calculated total energy belongs to which entry?
  RbCuB